[1]
This record from Alexandria via LeMat-Bulk describes a relaxed structure of PmHoErTh. The functional is PBE-GGA.

Computed properties:
DFT formation energy = 187 meV per atom
M_tot = 0.00 μB/f.u.

The structure in extended XYZ format:
```
4
Lattice="0.0000 4.0167 4.0167 4.0167 0.0000 4.0167 4.0167 4.0167 0.0000" Properties=species:S:1:pos:R:3 pbc="T T T"
Pm 0.0000 0.0000 0.0000
Ho 4.0167 4.0167 4.0167
Er 6.0250 6.0250 6.0250
Th 2.0083 2.0083 2.0083
```

[2]
This record from Alexandria via LeMat-Bulk describes a relaxed structure of PmHoEr3Th. The functional is PBE-GGA.

Computed properties:
DFT formation energy = 22 meV per atom
M_tot = 0.00 μB/f.u.

The structure in extended XYZ format:
```
12
Lattice="10.6028 0.0000 0.0000 0.0000 3.5555 0.0000 -3.4834 0.0000 10.0429" Properties=species:S:1:pos:R:3 pbc="T T T"
Pm 0.9070 0.8889 3.7576
Pm 6.2124 2.6666 6.2853
Ho -0.8532 2.6666 6.3160
Ho 7.9727 0.8889 3.7269
Er -2.5926 0.8889 8.7925
Er 2.6941 2.6666 1.2059
Er 2.6749 2.6666 6.3178
Er 4.4445 0.8889 3.7251
Er 4.4254 0.8889 8.8370
Er 9.7121 2.6666 1.2504
Th 0.9456 0.8889 8.7863
Th 6.1739 2.6666 1.2566
```